Material: DyPaTcRu
Method: DFT, PBE-GGA
State: optimized geometry

```
data_DyPaTcRu
_chemical_formula_sum 'Dy4 Pa4 Tc4 Ru4'
_symmetry_space_group_name_H-M 'P 1'
_symmetry_Int_Tables_number 1
_symmetry_space_group_name_Hall 'P 1'
_cell_length_a 6.854
_cell_length_b 6.854
_cell_length_c 6.854
_cell_angle_alpha 90.00
_cell_angle_beta 90.00
_cell_angle_gamma 90.00
loop_
_atom_site_label
_atom_site_type_symbol
_atom_site_fract_x
_atom_site_fract_y
_atom_site_fract_z
Dy1 Dy 0.000 0.000 0.000
Dy2 Dy 0.000 0.500 0.500
Dy3 Dy 0.500 0.000 0.500
Dy4 Dy 0.500 0.500 0.000
Pa1 Pa 0.000 0.000 0.500
Pa2 Pa 0.000 0.500 0.000
Pa3 Pa 0.500 0.000 0.000
Pa4 Pa 0.500 0.500 0.500
Tc1 Tc 0.250 0.250 0.250
Tc2 Tc 0.250 0.750 0.750
Tc3 Tc 0.750 0.250 0.750
Tc4 Tc 0.750 0.750 0.250
Ru1 Ru 0.250 0.250 0.750
Ru2 Ru 0.250 0.750 0.250
Ru3 Ru 0.750 0.250 0.250
Ru4 Ru 0.750 0.750 0.750
```

Calculated values
crystal system: cubic
E above lowest polymorph: 0.090 eV/atom
ΔH_f (0 K): -1.13 eV per formula unit
energy: -34.9 eV/f.u.